TcIrBr2 | PBE | relaxed

CIF file:
```
data_TcIrBr2
_space_group_name_H-M_alt 'C 1 2/m 1'
_space_group_IT_number 12
_space_group_name_Hall '-C 2y'
_cell_length_a 13.7945
_cell_length_b 3.1027
_cell_length_c 4.5823
_cell_angle_alpha 90.00
_cell_angle_beta 96.35
_cell_angle_gamma 90.00
loop_
_atom_site_label
_atom_site_type_symbol
_atom_site_fract_x
_atom_site_fract_y
_atom_site_fract_z
Tc1 Tc 0.0000 0.0000 0.0000
Ir1 Ir 0.0000 0.5000 0.5000
Br1 Br 0.1403 0.5000 0.2127
```

* distance to the lowest polymorph of the same formula: 346 meV per atom
* raw formation energy: 0.512 eV/atom
* spin magnetization: 1.2 μB/f.u.

---

TbThIrI | PBE | relaxed

CIF file:
```
data_TbThIrI
_space_group_name_H-M_alt 'R 3 m'
_space_group_IT_number 160
_space_group_name_Hall 'R 3 -2"'
_cell_length_a 4.1939
_cell_length_b 4.1939
_cell_length_c 24.4776
_cell_angle_alpha 90.00
_cell_angle_beta 90.00
_cell_angle_gamma 120.00
loop_
_atom_site_label
_atom_site_type_symbol
_atom_site_fract_x
_atom_site_fract_y
_atom_site_fract_z
Tb1 Tb 0.0000 0.0000 0.0000
Th1 Th 0.0000 0.0000 0.2158
Ir1 Ir 0.0000 0.0000 0.6064
I1 I 0.0000 0.0000 0.7749
```

* raw formation energy: -0.964 eV/atom
* spin magnetization: 0.0 μB/f.u.

---

Ce2TmSe | PBE | relaxed

CIF file:
```
data_Ce2TmSe
_space_group_name_H-M_alt 'R -3 m'
_space_group_IT_number 166
_space_group_name_Hall '-R 3 2"'
_cell_length_a 3.8087
_cell_length_b 3.8087
_cell_length_c 28.6871
_cell_angle_alpha 90.00
_cell_angle_beta 90.00
_cell_angle_gamma 120.00
loop_
_atom_site_label
_atom_site_type_symbol
_atom_site_fract_x
_atom_site_fract_y
_atom_site_fract_z
Ce1 Ce 0.0000 0.0000 0.2346
Tm1 Tm 0.0000 0.0000 0.0000
Se1 Se 0.0000 0.0000 0.5000
```

* raw formation energy: -0.628 eV/atom
* spin magnetization: 2.6 μB/f.u.